# 1
Here is crystalline Ac2NbGe2N6 at its relaxed geometry from Alexandria. Energies are from PBE.

Lattice parameters (Å, degrees): 5.919 5.919 6.504 62.94 62.94 60.00
Fractional coordinates of all 11 atoms:
Ac  0.783  0.783  0.650
Ac  0.217  0.217  0.350
Nb  0.000  0.000  0.000
Ge  0.427  0.427  0.720
Ge  0.573  0.573  0.280
N  0.762  0.762  0.242
N  0.235  0.762  0.242
N  0.762  0.235  0.242
N  0.238  0.765  0.758
N  0.765  0.238  0.758
N  0.238  0.238  0.758

Computed properties:
calculated total energy = -7.563 eV per atom
total magnetic moment = 0.000 μB per atom

=====

# 2
Here is crystalline Ba2H2I at its relaxed geometry from Alexandria. Energies are from PBE.

Lattice parameters (Å, degrees): 7.092 7.092 7.286 114.64 106.39 106.37
Fractional coordinates of all 10 atoms:
Ba  0.817  0.188  0.195
Ba  0.506  0.378  0.695
Ba  0.494  0.622  0.305
Ba  0.183  0.812  0.805
H  0.492  0.246  0.983
H  0.237  0.491  0.483
H  0.508  0.754  0.017
H  0.763  0.509  0.517
I  0.044  0.794  0.250
I  0.956  0.206  0.750

Computed properties:
calculated total energy = -3.256 eV per atom
total magnetic moment = 0.000 μB per atom

=====

# 3
Here is crystalline Tl2Ir at its relaxed geometry from Alexandria. Energies are from PBE.

Lattice parameters (Å, degrees): 13.373 13.373 13.373 166.17 166.17 19.61
Fractional coordinates of all 6 atoms:
Tl  0.681  0.181  0.500
Tl  0.069  0.069  0.000
Tl  0.819  0.319  0.500
Tl  0.931  0.931  0.000
Ir  0.250  0.750  0.500
Ir  0.500  0.500  0.000

Computed properties:
total magnetic moment = 0.000 μB per atom
energy relative to the elements = 125 kJ/mol of formula units

=====

# 4
Here is crystalline TmPuCdIr at its relaxed geometry from Alexandria. Energies are from PBE.

Lattice parameters (Å, degrees): 5.019 5.019 5.019 60.00 60.00 60.00
Last column: magnetic moment on the atom in μB.
Fractional coordinates of all 4 atoms:
Cd  0.750  0.750  0.750  0.01
Ir  0.250  0.250  0.250  -0.26
Tm  0.000  0.000  0.000  0.08
Pu  0.500  0.500  0.500  5.17

Computed properties:
total magnetic moment = 1.305 μB per atom
energy relative to the elements = -127 kJ/mol of formula units

=====

# 5
Here is crystalline Li3MgTi at its relaxed geometry from Alexandria. Energies are from PBE.

Lattice parameters (Å, degrees): 4.720 4.720 4.720 90.00 90.00 90.00
Fractional coordinates of all 5 atoms:
Mg  0.000  0.000  0.000
Li  0.000  0.500  0.000
Li  0.000  0.000  0.500
Li  0.500  0.000  0.000
Ti  0.500  0.500  0.500

Computed properties:
total magnetic moment = 0.029 μB per atom
energy relative to the elements = 418 kJ/mol of formula units

=====

# 6
Here is crystalline U2CoTc at its relaxed geometry from Alexandria. Energies are from PBE.

Lattice parameters (Å, degrees): 3.986 4.148 4.148 90.00 90.00 90.00
Last column: magnetic moment on the atom in μB.
Fractional coordinates of all 4 atoms:
Co  0.500  0.000  0.000  -0.17
U  0.000  0.000  0.500  0.29
U  0.000  0.500  0.000  0.29
Tc  0.500  0.500  0.500  -0.05

Computed properties:
total magnetic moment = 0.100 μB per atom
energy relative to the elements = 32 kJ/mol of formula units

=====

# 7
Here is crystalline BeRe2AgAs at its relaxed geometry from Alexandria. Energies are from PBE.

Lattice parameters (Å, degrees): 4.299 4.173 4.299 90.00 90.00 90.00
Fractional coordinates of all 5 atoms:
Re  0.000  0.000  0.500
Re  0.500  0.000  0.000
As  0.500  0.500  0.500
Ag  0.000  0.500  0.000
Be  0.000  0.000  0.000

Computed properties:
total magnetic moment = 0.000 μB per atom
energy relative to the elements = 543 kJ/mol of formula units

=====

# 8
Here is crystalline SmThCuGe at its relaxed geometry from Alexandria. Energies are from PBE.

Lattice parameters (Å, degrees): 5.109 5.109 5.109 60.00 60.00 60.00
Fractional coordinates of all 4 atoms:
Ge  0.750  0.750  0.750
Cu  0.250  0.250  0.250
Sm  0.500  0.500  0.500
Th  0.000  0.000  0.000

Computed properties:
total magnetic moment = 0.000 μB per atom
energy relative to the elements = -144 kJ/mol of formula units

=====

# 9
Here is crystalline HfTiReAg at its relaxed geometry from Alexandria. Energies are from PBE.

Lattice parameters (Å, degrees): 4.614 4.614 4.614 60.00 60.00 60.00
Fractional coordinates of all 4 atoms:
Re  0.000  0.000  0.000
Hf  0.750  0.750  0.750
Ag  0.500  0.500  0.500
Ti  0.250  0.250  0.250

Computed properties:
total magnetic moment = 0.000 μB per atom
energy relative to the elements = -46 kJ/mol of formula units

=====

# 10
Here is crystalline CaAc3Te6 at its relaxed geometry from Alexandria. Energies are from PBE.

Lattice parameters (Å, degrees): 4.815 12.410 14.008 103.57 90.00 90.00
Fractional coordinates of all 20 atoms:
Ca  0.750  0.028  0.652
Ca  0.250  0.972  0.348
Ac  0.750  0.397  0.840
Ac  0.250  0.603  0.160
Ac  0.750  0.679  0.506
Ac  0.250  0.321  0.494
Ac  0.750  0.161  0.099
Ac  0.250  0.839  0.901
Te  0.750  0.474  0.626
Te  0.250  0.526  0.374
Te  0.750  0.885  0.073
Te  0.250  0.115  0.927
Te  0.750  0.422  0.085
Te  0.250  0.578  0.915
Te  0.750  0.783  0.276
Te  0.250  0.217  0.724
Te  0.750  0.126  0.467
Te  0.250  0.874  0.533
Te  0.750  0.817  0.743
Te  0.250  0.183  0.257

Computed properties:
calculated total energy = -4.713 eV per atom
total magnetic moment = 0.000 μB per atom

=====

# 11
Here is crystalline Ni3Sb at its relaxed geometry from Alexandria. Energies are from PBE.

Lattice parameters (Å, degrees): 4.274 3.018 4.298 87.48 90.00 90.00
Fractional coordinates of all 4 atoms:
Ni  0.000  0.999  0.987
Ni  0.500  0.750  0.750
Ni  0.000  0.501  0.513
Sb  0.500  0.250  0.250

Computed properties:
calculated total energy = -5.254 eV per atom
total magnetic moment = 0.000 μB per atom

=====

# 12
Here is crystalline VFeOsI2 at its relaxed geometry from Alexandria. Energies are from PBE.

Lattice parameters (Å, degrees): 5.318 4.618 5.318 90.00 90.00 90.00
Last column: magnetic moment on the atom in μB.
Fractional coordinates of all 5 atoms:
I  0.000  0.000  0.500  0.15
I  0.500  0.000  0.000  0.12
Os  0.500  0.500  0.500  3.17
Fe  0.000  0.500  0.000  2.90
V  0.000  0.000  0.000  -1.94

Computed properties:
calculated total energy = -4.543 eV per atom
total magnetic moment = 0.988 μB per atom

=====

# 13
Here is crystalline Cs2ZrAs at its relaxed geometry from Alexandria. Energies are from PBE.

Lattice parameters (Å, degrees): 5.939 5.939 5.939 60.00 60.00 60.00
Last column: magnetic moment on the atom in μB.
Fractional coordinates of all 4 atoms:
Cs  0.250  0.250  0.250  0.07
Cs  0.750  0.750  0.750  0.07
As  0.000  0.000  0.000  -0.25
Zr  0.500  0.500  0.500  1.83

Computed properties:
total magnetic moment = 0.750 μB per atom
energy relative to the elements = 377 kJ/mol of formula units